[1]
# SiF (PBE, relaxed)
data_SiF
_cell_length_a 6.424
_cell_length_b 6.424
_cell_length_c 6.424
_cell_angle_alpha 109.47
_cell_angle_beta 109.47
_cell_angle_gamma 109.47
_space_group_name_H-M_alt 'P 1'
_space_group_IT_number 1
loop_
_space_group_symop_operation_xyz
'x,y,z'
loop_
_atom_site_label
_atom_site_type_symbol
_atom_site_fract_x
_atom_site_fract_y
_atom_site_fract_z
Si1 Si 0.000 0.000 0.505
Si2 Si 0.000 0.505 0.000
Si3 Si 0.495 0.495 0.495
Si4 Si 0.505 0.000 0.000
F1 F 0.000 0.000 0.757
F2 F 0.000 0.757 0.000
F3 F 0.243 0.243 0.243
F4 F 0.757 0.000 0.000
# - calculated total energy (eV/atom) = -4.248
# - raw formation energy (eV per formula unit) = -1.201
# - volume (A^3/atom) = 25.506
# - distance to the lowest polymorph of the same formula (kJ per mole of atoms) = 105.9

***

[2]
# SiF4 (PBE, relaxed)
data_SiF4
_cell_length_a 4.771
_cell_length_b 4.771
_cell_length_c 4.771
_cell_angle_alpha 109.47
_cell_angle_beta 109.47
_cell_angle_gamma 109.47
_space_group_name_H-M_alt 'P 1'
_space_group_IT_number 1
loop_
_space_group_symop_operation_xyz
'x,y,z'
loop_
_atom_site_label
_atom_site_type_symbol
_atom_site_fract_x
_atom_site_fract_y
_atom_site_fract_z
Si1 Si 0.000 0.000 0.000
F1 F 0.000 0.000 0.332
F2 F 0.000 0.332 0.000
F3 F 0.332 0.000 0.000
F4 F 0.668 0.668 0.668
# - calculated total energy (eV/atom) = -5.713
# - raw formation energy (eV per formula unit) = -15.657
# - volume (A^3/atom) = 16.722

***

[3]
# Sm2SiF (PBE, relaxed)
data_Sm2SiF
_cell_length_a 7.285
_cell_length_b 7.285
_cell_length_c 7.285
_cell_angle_alpha 31.60
_cell_angle_beta 31.60
_cell_angle_gamma 31.60
_space_group_name_H-M_alt 'P 1'
_space_group_IT_number 1
loop_
_space_group_symop_operation_xyz
'x,y,z'
loop_
_atom_site_label
_atom_site_type_symbol
_atom_site_fract_x
_atom_site_fract_y
_atom_site_fract_z
Sm1 Sm 0.000 0.000 0.000
Sm2 Sm 0.175 0.175 0.175
Si1 Si 0.587 0.587 0.587
F1 F 0.409 0.409 0.409
# - calculated total energy (eV/atom) = -5.573
# - raw formation energy (eV per formula unit) = -5.561
# - volume (A^3/atom) = 23.566
# - distance to the lowest polymorph of the same formula (kJ per mole of atoms) = 16.8

***

[4]
# Sm2SiF (PBE, relaxed)
data_Sm2SiF
_cell_length_a 7.884
_cell_length_b 7.884
_cell_length_c 7.884
_cell_angle_alpha 32.12
_cell_angle_beta 32.12
_cell_angle_gamma 32.12
_space_group_name_H-M_alt 'P 1'
_space_group_IT_number 1
loop_
_space_group_symop_operation_xyz
'x,y,z'
loop_
_atom_site_label
_atom_site_type_symbol
_atom_site_fract_x
_atom_site_fract_y
_atom_site_fract_z
Sm1 Sm 0.102 0.102 0.102
Sm2 Sm 0.898 0.898 0.898
Si1 Si 0.500 0.500 0.500
F1 F 0.000 0.000 0.000
# - calculated total energy (eV/atom) = -5.748
# - raw formation energy (eV per formula unit) = -6.258
# - volume (A^3/atom) = 30.783
# - distance to the lowest polymorph of the same formula (kJ per mole of atoms) = 0.0

***

Number 1: Fermi-level density of states 6.9 states/eV/cell. Number 2: Fermi-level density of states 0.0 states/eV/cell. Number 3: Fermi-level density of states 2.4 states/eV/cell. Number 4: Fermi-level density of states 2.5 states/eV/cell.